Crystalline SrPuWO6 at its relaxed geometry. Source: Alexandria via LeMat-Bulk, functional PBE+U.

Cell and atoms, written as POSCAR:
```
SrPuWO6
1.0
5.631 0.000 0.000
-2.815 4.876 0.000
0.000 0.000 10.426
Sr Pu W O
2 2 2 12
direct
0.000 0.000 0.000
0.000 0.000 0.500
0.333 0.667 0.250
0.667 0.333 0.750
0.333 0.667 0.750
0.667 0.333 0.250
0.033 0.388 0.645
0.033 0.645 0.855
0.355 0.388 0.855
0.355 0.967 0.645
0.388 0.033 0.145
0.388 0.355 0.355
0.612 0.645 0.645
0.612 0.967 0.855
0.645 0.033 0.355
0.645 0.612 0.145
0.967 0.355 0.145
0.967 0.612 0.355
```

Computed properties:
* magnetization: 0.44 μB/atom
* total energy: -76.64 eV per formula unit